ZnAg2Se: optimized geometry, GGA-PBE. Values from VASP.

Cell and atoms, written as Quantum ESPRESSO input:
```
&SYSTEM
  ibrav = 0, nat = 4, ntyp = 3
/
ATOMIC_SPECIES
Ag 107.87 Ag.upf
Zn 65.41 Zn.upf
Se 78.96 Se.upf
CELL_PARAMETERS angstrom
-2.714 1.396 4.165
2.819 -0.594 4.285
0.942 2.353 -4.499
ATOMIC_POSITIONS angstrom
Ag 0.053 0.401 4.227
Zn 1.907 1.080 2.006
Ag 0.105 0.802 8.449
Se -0.860 2.075 1.946
```

**Electronic total energy**: -2.561 eV per atom
**Magnetization**: 0.00 μB per atom

ZnAgSe2: optimized geometry, GGA-PBE. Values from VASP.

Cell and atoms, written as Quantum ESPRESSO input:
```
&SYSTEM
  ibrav = 0, nat = 4, ntyp = 3
/
ATOMIC_SPECIES
Se 78.96 Se.upf
Zn 65.41 Zn.upf
Ag 107.87 Ag.upf
CELL_PARAMETERS angstrom
4.806 0.000 0.000
2.403 4.162 0.000
2.403 1.387 3.924
ATOMIC_POSITIONS angstrom
Se 2.403 1.387 0.981
Se 0.000 0.000 0.000
Zn 7.209 4.162 2.943
Ag 4.806 2.775 1.962
```

**Electronic total energy**: -2.451 eV per atom
**Magnetization**: 0.00 μB per atom

ZnAgSe2: optimized geometry, GGA-PBE. Values from VASP.

Cell and atoms, written as Quantum ESPRESSO input:
```
&SYSTEM
  ibrav = 0, nat = 4, ntyp = 3
/
ATOMIC_SPECIES
Se 78.96 Se.upf
Zn 65.41 Zn.upf
Ag 107.87 Ag.upf
CELL_PARAMETERS angstrom
2.898 0.031 0.000
-0.591 2.837 0.000
0.000 0.000 10.033
ATOMIC_POSITIONS angstrom
Se 0.000 0.000 9.541
Zn 0.000 0.000 5.188
Ag 1.153 1.434 7.187
Se 1.153 1.434 3.165
```

**Electronic total energy**: -2.643 eV per atom
**Magnetization**: 0.00 μB per atom

Zn2Ag2Se: optimized geometry, GGA-PBE. Values from VASP.

Cell and atoms, written as Quantum ESPRESSO input:
```
&SYSTEM
  ibrav = 0, nat = 10, ntyp = 3
/
ATOMIC_SPECIES
Zn 65.41 Zn.upf
Ag 107.87 Ag.upf
Se 78.96 Se.upf
CELL_PARAMETERS angstrom
-0.580 3.671 5.694
-6.769 -0.066 -0.647
-0.175 -3.404 2.177
ATOMIC_POSITIONS angstrom
Zn -6.064 1.282 1.517
Zn -4.802 3.132 4.513
Ag -1.310 -0.430 2.980
Ag -6.213 0.631 4.245
Zn -1.285 2.324 3.531
Ag -2.944 1.393 5.699
Ag -4.580 -1.192 1.526
Se -3.674 1.803 2.524
Se 0.000 0.000 0.000
Zn -2.547 0.473 0.535
```

**Electronic total energy**: -2.280 eV per atom
**Magnetization**: 0.00 μB per atom

ZnAg2Se: optimized geometry, GGA-PBE. Values from VASP.

Cell and atoms, written as Quantum ESPRESSO input:
```
&SYSTEM
  ibrav = 0, nat = 4, ntyp = 3
/
ATOMIC_SPECIES
Zn 65.41 Zn.upf
Ag 107.87 Ag.upf
Se 78.96 Se.upf
CELL_PARAMETERS angstrom
5.228 0.011 0.000
1.990 4.835 0.000
-3.609 -2.423 2.905
ATOMIC_POSITIONS angstrom
Zn 2.614 0.006 1.452
Ag 0.000 0.000 0.000
Ag 0.995 2.417 1.452
Se 3.609 2.423 0.000
```

**Electronic total energy**: -2.560 eV per atom
**Magnetization**: 0.00 μB per atom

ZnAgSe: optimized geometry, GGA-PBE. Values from VASP.

Cell and atoms, written as Quantum ESPRESSO input:
```
&SYSTEM
  ibrav = 0, nat = 3, ntyp = 3
/
ATOMIC_SPECIES
Zn 65.41 Zn.upf
Ag 107.87 Ag.upf
Se 78.96 Se.upf
CELL_PARAMETERS angstrom
4.547 0.000 0.000
2.273 3.938 0.000
2.273 1.313 3.713
ATOMIC_POSITIONS angstrom
Zn 0.000 0.000 0.000
Ag 4.547 2.625 1.856
Se 6.820 3.938 2.784
```

**Electronic total energy**: -2.497 eV per atom
**Magnetization**: 0.00 μB per atom

ZnAgSe2: optimized geometry, GGA-PBE. Values from VASP.

Cell and atoms, written as Quantum ESPRESSO input:
```
&SYSTEM
  ibrav = 0, nat = 8, ntyp = 3
/
ATOMIC_SPECIES
Se 78.96 Se.upf
Zn 65.41 Zn.upf
Ag 107.87 Ag.upf
CELL_PARAMETERS angstrom
-5.596 -1.133 1.673
0.304 -5.343 -2.600
-0.743 -5.486 4.379
ATOMIC_POSITIONS angstrom
Se -2.536 -6.650 2.885
Se -3.534 -2.725 1.782
Zn -2.646 -3.238 -0.464
Ag 0.000 0.000 0.000
Se -5.194 -9.674 2.525
Ag -4.493 -4.929 2.794
Se -0.807 -4.875 -0.288
Zn -1.543 -7.034 0.657
```

**Electronic total energy**: -3.055 eV per atom
**Magnetization**: 0.00 μB per atom

Zr2AgSe2: optimized geometry, GGA-PBE. Values from VASP.

Cell and atoms, written as Quantum ESPRESSO input:
```
&SYSTEM
  ibrav = 0, nat = 10, ntyp = 3
/
ATOMIC_SPECIES
Zr 91.22 Zr.upf
Se 78.96 Se.upf
Ag 107.87 Ag.upf
CELL_PARAMETERS angstrom
7.635 0.000 0.000
0.000 7.635 0.000
0.000 0.000 3.501
ATOMIC_POSITIONS angstrom
Zr 1.121 2.696 0.000
Se 1.103 4.920 1.751
Zr 4.938 1.121 0.000
Ag 0.000 0.000 0.000
Se 2.714 1.103 1.751
Zr 2.696 6.514 0.000
Ag 3.817 3.817 0.000
Zr 6.514 4.938 0.000
Se 6.532 2.714 1.751
Se 4.920 6.532 1.751
```

**Electronic total energy**: -6.140 eV per atom
**Magnetization**: 0.00 μB per atom